No. 1
# Tl2ReRh GGA-PBE optimized geometry
# density of states at the Fermi level: 0.930 states/eV per atom
# electronic total energy: -40.2 eV/cell
# relative energy among the computed polymorphs: 698 meV per atom
# energy of formation from the pure elements: 107.3 kJ/mol of atoms
# crystal system: tetragonal
data_Tl2ReRh
_cell_length_a 4.126
_cell_length_b 4.126
_cell_length_c 10.255
_cell_angle_alpha 78.39
_cell_angle_beta 78.39
_cell_angle_gamma 90.00
_symmetry_space_group_name_H-M 'P 1'
_symmetry_Int_Tables_number 1
loop_
_symmetry_equiv_pos_as_xyz
'x,y,z'
loop_
_atom_site_label
_atom_site_fract_x
_atom_site_fract_y
_atom_site_fract_z
_atom_site_occupancy
Re1 0.000 0.000 0.000 1
Re2 0.750 0.250 0.500 1
Tl1 0.625 0.125 0.250 1
Tl2 0.125 0.625 0.250 1
Tl3 0.375 0.375 0.750 1
Tl4 0.875 0.875 0.750 1
Rh1 0.500 0.500 0.000 1
Rh2 0.250 0.750 0.500 1

No. 2
# Nd2MnGa4Ir3 GGA-PBE optimized geometry
# density of states at the Fermi level: 0.735 states/eV per atom
# electronic total energy: -63.4 eV/cell
# energy of formation from the pure elements: -57.7 kJ/mol of atoms
# crystal system: tetragonal
data_Nd2MnGa4Ir3
_cell_length_a 4.139
_cell_length_b 4.139
_cell_length_c 10.980
_cell_angle_alpha 90.00
_cell_angle_beta 90.00
_cell_angle_gamma 90.00
_symmetry_space_group_name_H-M 'P 1'
_symmetry_Int_Tables_number 1
loop_
_symmetry_equiv_pos_as_xyz
'x,y,z'
loop_
_atom_site_label
_atom_site_fract_x
_atom_site_fract_y
_atom_site_fract_z
_atom_site_occupancy
Nd1 0.500 0.000 0.250 1
Nd2 0.000 0.500 0.750 1
Mn1 0.500 0.500 0.500 1
Ga1 0.500 0.500 0.000 1
Ga2 0.000 0.000 0.000 1
Ga3 0.500 0.000 0.634 1
Ga4 0.000 0.500 0.366 1
Ir1 0.000 0.000 0.500 1
Ir2 0.500 0.000 0.865 1
Ir3 0.000 0.500 0.135 1

No. 3
# Li8NbS6 GGA-PBE optimized geometry
# density of states at the Fermi level: 0.329 states/eV per atom
# electronic total energy: -68.2 eV/cell
# relative energy among the computed polymorphs: 0 meV per atom
# E_form (uncorrected): -18.07 eV/f.u.
# crystal system: trigonal
data_Li8NbS6
_cell_length_a 7.284
_cell_length_b 7.284
_cell_length_c 7.284
_cell_angle_alpha 55.22
_cell_angle_beta 55.22
_cell_angle_gamma 55.22
_symmetry_space_group_name_H-M 'P 1'
_symmetry_Int_Tables_number 1
loop_
_symmetry_equiv_pos_as_xyz
'x,y,z'
loop_
_atom_site_label
_atom_site_fract_x
_atom_site_fract_y
_atom_site_fract_z
_atom_site_occupancy
Li1 0.522 0.892 0.226 1
Li2 0.774 0.478 0.108 1
Li3 0.108 0.774 0.478 1
Li4 0.663 0.663 0.663 1
Li5 0.337 0.337 0.337 1
Li6 0.892 0.226 0.522 1
Li7 0.226 0.522 0.892 1
Li8 0.478 0.108 0.774 1
Nb1 0.000 0.000 0.000 1
S1 0.386 0.761 0.086 1
S2 0.914 0.614 0.239 1
S3 0.239 0.914 0.614 1
S4 0.761 0.086 0.386 1
S5 0.086 0.386 0.761 1
S6 0.614 0.239 0.914 1

No. 4
# TaPIrS2 GGA-PBE optimized geometry
# density of states at the Fermi level: 0.906 states/eV per atom
# electronic total energy: -29.8 eV/cell
# relative energy among the computed polymorphs: 52 meV per atom
# E_form (uncorrected): 4.56 eV/f.u.
# crystal system: tetragonal
data_TaPIrS2
_cell_length_a 4.595
_cell_length_b 4.595
_cell_length_c 4.501
_cell_angle_alpha 90.00
_cell_angle_beta 90.00
_cell_angle_gamma 90.00
_symmetry_space_group_name_H-M 'P 1'
_symmetry_Int_Tables_number 1
loop_
_symmetry_equiv_pos_as_xyz
'x,y,z'
loop_
_atom_site_label
_atom_site_fract_x
_atom_site_fract_y
_atom_site_fract_z
_atom_site_occupancy
P1 0.000 0.000 0.500 1
S1 0.000 0.500 0.000 1
S2 0.500 0.000 0.000 1
Ir1 0.000 0.000 0.000 1
Ta1 0.500 0.500 0.500 1

Among the records above, which one has the highest density of states at the Fermi level?
Tl2ReRh

What is the electronic total energy in the fourth record?
-29.8 eV/cell

electronic total energy of number 2 (Nd2MnGa4Ir3)?
-63.4 eV/cell